Here is a geometry-optimized NiRu2 structure from Alexandria. Energies are from PBE.

## Properties
Its space group is No. 164. For the spin magnetization, the calculation gives 0.00 Bohr magnetons per cell. The calculation puts the energy of formation from the pure elements at 147 meV/atom. As for the energy: -23.9 eV for the cell shown. As for the crystal system: trigonal.

```
NiRu2
1.0
2.672 0.000 0.000
-1.336 2.314 0.000
0.000 0.000 6.395
Ni Ru
1 2
Direct
0.000 0.000 0.000
0.333 0.667 0.666
0.667 0.333 0.334
```